Run 1
{"formula": "Co2Re2Pd", "functional": "PBE", "state": "relaxed", "lattice": [[7.270, 0.000, 0.000], [0.000, 7.270, 0.000], [0.000, 0.000, 2.612]], "species": ["Re", "Re", "Co", "Re", "Co", "Pd", "Re", "Co", "Co", "Pd"], "fractional_positions": [[0.873, 0.627, 0.000], [0.627, 0.127, 0.000], [0.834, 0.334, 0.500], [0.127, 0.373, 0.000], [0.666, 0.834, 0.500], [0.000, 0.000, 0.000], [0.373, 0.873, 0.000], [0.334, 0.166, 0.500], [0.166, 0.666, 0.500], [0.500, 0.500, 0.000]], "crystal_system": "tetragonal", "n_ef_per_ev_cell": 6.91, "sg": "No. 127"}

=====

Run 2
{"formula": "Co2Re2Pd", "functional": "PBE", "state": "relaxed", "lattice": [[-6.486, 2.847, 0.654], [-2.209, -5.822, 3.439], [0.712, 1.092, 2.305]], "species": ["Re", "Pd", "Pd", "Re", "Co", "Co", "Re", "Re", "Co", "Co"], "fractional_positions": [[0.172, 0.672, 0.500], [0.000, 0.000, 0.000], [0.500, 0.500, 0.000], [0.828, 0.328, 0.500], [0.122, 0.378, 0.000], [0.622, 0.122, 0.000], [0.672, 0.828, 0.500], [0.328, 0.172, 0.500], [0.378, 0.878, 0.000], [0.878, 0.622, 0.000]], "crystal_system": "tetragonal", "n_ef_per_ev_cell": 5.69, "sg": "No. 127"}

=====

run 2 (0.076 eV/atom below the next structure)

=====

Run 1
{"formula": "CoPdRh", "functional": "PBE", "state": "relaxed", "lattice": [[5.103, 0.000, 0.000], [-2.551, 4.419, 0.000], [0.000, 0.000, 12.269]], "species": ["Pd", "Co", "Pd", "Co", "Pd", "Pd", "Rh", "Co", "Co", "Rh", "Pd", "Pd", "Co", "Rh", "Rh", "Rh", "Rh", "Co"], "fractional_positions": [[0.500, 0.500, 0.691], [0.253, 0.626, 0.833], [0.500, 0.000, 0.975], [0.626, 0.253, 0.167], [0.000, 0.500, 0.025], [0.500, 0.000, 0.358], [0.500, 0.500, 0.000], [0.374, 0.626, 0.500], [0.374, 0.747, 0.167], [0.000, 0.500, 0.333], [0.500, 0.500, 0.309], [0.000, 0.500, 0.642], [0.626, 0.374, 0.500], [0.000, 0.000, 0.167], [0.500, 0.000, 0.667], [0.000, 0.000, 0.833], [0.000, 0.000, 0.500], [0.747, 0.374, 0.833]], "crystal_system": "hexagonal", "n_ef_per_ev_cell": 19.59, "sg": "No. 180"}

=====

Run 2
{"formula": "CoPdRh", "functional": "PBE", "state": "relaxed", "lattice": [[2.705, 0.000, 0.000], [-1.352, 2.342, 0.000], [0.000, 0.000, 6.523]], "species": ["Co", "Pd", "Rh"], "fractional_positions": [[0.333, 0.667, 0.661], [0.000, 0.000, 0.989], [0.667, 0.333, 0.351]], "crystal_system": "trigonal", "n_ef_per_ev_cell": 4.15, "sg": "No. 156"}

=====

run 2 (0.465 eV/atom below the next structure)

=====

Run 1
{"formula": "CoPdRh", "functional": "PBE", "state": "relaxed", "lattice": [[-1.999, 0.227, -1.797], [-2.446, -1.994, 2.470], [-1.133, 6.485, 4.115]], "species": ["Rh", "Co", "Pd", "Pd", "Co", "Rh"], "fractional_positions": [[0.394, 0.250, 0.289], [0.040, 0.250, 0.580], [0.205, 0.250, 0.910], [0.795, 0.750, 0.090], [0.960, 0.750, 0.420], [0.606, 0.750, 0.711]], "crystal_system": "orthorhombic", "n_ef_per_ev_cell": 6.35, "sg": "No. 63"}

=====

Run 2
{"formula": "CoPdRh", "functional": "PBE", "state": "relaxed", "lattice": [[2.727, 0.000, 0.000], [0.000, 2.727, 0.000], [-1.363, -1.363, 5.547]], "species": ["Pd", "Rh", "Co"], "fractional_positions": [[0.993, 0.993, 0.986], [0.678, 0.678, 0.357], [0.329, 0.329, 0.657]], "crystal_system": "tetragonal", "n_ef_per_ev_cell": 4.09, "sg": "No. 107"}

=====

run 1 (0.015 eV/atom below the next structure)

=====

Run 1
{"formula": "CoPd2Ru", "functional": "PBE", "state": "relaxed", "lattice": [[2.278, -0.795, 3.560], [0.246, 2.967, 3.103], [-2.016, -0.634, 3.746]], "species": ["Pd", "Co", "Ru", "Pd"], "fractional_positions": [[0.250, 0.250, 0.250], [0.000, 0.000, 0.000], [0.500, 0.500, 0.500], [0.750, 0.750, 0.750]], "crystal_system": "cubic", "n_ef_per_ev_cell": 6.11, "sg": "No. 225"}

=====

Run 2
{"formula": "CoPd2Ru", "functional": "PBE", "state": "relaxed", "lattice": [[-4.606, -5.150, -0.238], [3.760, -3.137, -4.881], [0.901, -5.413, -0.723]], "species": ["Ru", "Ru", "Pd", "Pd", "Pd", "Co", "Co", "Pd"], "fractional_positions": [[0.750, 0.250, 0.500], [0.000, 0.000, 0.000], [0.605, 0.125, 0.250], [0.875, 0.855, 0.750], [0.145, 0.625, 0.250], [0.500, 0.500, 0.000], [0.250, 0.750, 0.500], [0.375, 0.395, 0.750]], "crystal_system": "tetragonal", "n_ef_per_ev_cell": 13.75, "sg": "No. 122"}

=====

run 1 (0.214 eV/atom below the next structure)

=====

Run 1
{"formula": "CoPdRu2", "functional": "PBE", "state": "relaxed", "lattice": [[-4.432, -2.959, -0.440], [1.725, -1.885, -4.697], [1.109, -6.488, -0.033]], "species": ["Ru", "Ru", "Co", "Co", "Ru", "Ru", "Pd", "Pd"], "fractional_positions": [[0.375, 0.410, 0.750], [0.875, 0.840, 0.750], [0.250, 0.750, 0.500], [0.500, 0.500, 0.000], [0.160, 0.625, 0.250], [0.590, 0.125, 0.250], [0.000, 0.000, 0.000], [0.750, 0.250, 0.500]], "crystal_system": "tetragonal", "n_ef_per_ev_cell": 9.20, "sg": "No. 122"}

=====

Run 2
{"formula": "CoPdRu2", "functional": "PBE", "state": "relaxed", "lattice": [[3.279, -2.738, -0.295], [0.895, -2.627, 3.260], [-0.745, -4.200, -0.369]], "species": ["Co", "Pd", "Ru", "Ru"], "fractional_positions": [[0.000, 0.000, 0.000], [0.500, 0.500, 0.500], [0.750, 0.750, 0.750], [0.250, 0.250, 0.250]], "crystal_system": "cubic", "n_ef_per_ev_cell": 5.03, "sg": "No. 225"}

=====

run 2 (0.861 eV/atom below the next structure)

=====

Run 1
{"formula": "Co2PdRu2", "functional": "PBE", "state": "relaxed", "lattice": [[-1.257, 5.263, 4.470], [2.897, -3.722, 5.197], [2.387, 1.057, -0.573]], "species": ["Ru", "Ru", "Ru", "Pd", "Co", "Co", "Co", "Co", "Ru", "Pd"], "fractional_positions": [[0.326, 0.174, 0.500], [0.826, 0.326, 0.500], [0.174, 0.674, 0.500], [0.000, 0.000, 0.000], [0.380, 0.880, 0.000], [0.880, 0.620, 0.000], [0.620, 0.120, 0.000], [0.120, 0.380, 0.000], [0.674, 0.826, 0.500], [0.500, 0.500, 0.000]], "crystal_system": "tetragonal", "n_ef_per_ev_cell": 14.55, "sg": "No. 127"}

=====

Run 2
{"formula": "Co2PdRu2", "functional": "PBE", "state": "relaxed", "lattice": [[7.146, 0.000, 0.000], [0.000, 7.146, 0.000], [0.000, 0.000, 2.651]], "species": ["Pd", "Co", "Ru", "Co", "Ru", "Pd", "Co", "Ru", "Ru", "Co"], "fractional_positions": [[0.500, 0.500, 0.000], [0.167, 0.667, 0.500], [0.873, 0.627, 0.000], [0.833, 0.333, 0.500], [0.127, 0.373, 0.000], [0.000, 0.000, 0.000], [0.667, 0.833, 0.500], [0.627, 0.127, 0.000], [0.373, 0.873, 0.000], [0.333, 0.167, 0.500]], "crystal_system": "tetragonal", "n_ef_per_ev_cell": 18.37, "sg": "No. 127"}

=====

run 1 (0.068 eV/atom below the next structure)